# PBE with a Hubbard U Na2V2O7, optimized geometry
data_Na2V2O7
_chemical_formula_sum 'Na2 V2 O7'
_symmetry_space_group_name_H-M 'P 1'
_symmetry_Int_Tables_number 1
_cell_length_a 5.2686
_cell_length_b 5.9089
_cell_length_c 5.9089
_cell_angle_alpha 98.74
_cell_angle_beta 97.57
_cell_angle_gamma 97.57
loop_
_symmetry_equiv_pos_as_xyz
'x,y,z'
loop_
_atom_site_label
_atom_site_type_symbol
_atom_site_fract_x
_atom_site_fract_y
_atom_site_fract_z
O1 O 0.7357 0.0914 0.3954
O2 O 0.7357 0.3954 0.0914
Na1 Na 0.5000 0.6928 0.3072
O3 O 0.2065 0.3751 0.3751
O4 O 0.7935 0.6249 0.6249
Na2 Na 0.5000 0.3072 0.6928
V1 V 0.0714 0.7807 0.7807
O5 O 0.2643 0.6046 0.9086
O6 O 0.0000 0.0000 0.0000
V2 V 0.9286 0.2193 0.2193
O7 O 0.2643 0.9086 0.6046
# SG ... C2/m
# DFT total energy ... -69.2 eV/cell
# Magnetic moment ... 2.01 μB/f.u.